Entry 1:
Sm4Dy3Tm5: optimized geometry, GGA-PBE.

abc: 5.8815 8.5017 9.6048
angles: 105.46 72.17 69.76
Last column: nearest neighbours and their distance in Å.
Element x y z (fractional)
1 Sm 0.8614 0.2225 0.0546  2 Sm 3.26-3.64, 1 Dy 3.38, 3 Tm 3.41-3.50
2 Sm 0.1677 0.0468 0.6178  3 Dy 3.32-3.52, 3 Sm 3.54-3.64, 3 Tm 3.65-3.67
3 Sm 0.8323 0.9532 0.3822  3 Dy 3.32-3.52, 3 Sm 3.54-3.64, 3 Tm 3.65-3.67
4 Sm 0.1386 0.7775 0.9454  2 Sm 3.26-3.64, 1 Dy 3.38, 3 Tm 3.41-3.50
5 Dy 0.5253 0.6868 0.2625  5 Tm 3.10-3.42, 2 Sm 3.32-3.38
6 Dy 0.0000 0.5000 0.5000  2 Tm 2.94
7 Dy 0.4747 0.3132 0.7375  5 Tm 3.10-3.42, 2 Sm 3.32-3.38
8 Tm 0.6302 0.9404 0.7991  2 Dy 3.25-3.44, 2 Tm 3.39-3.58
9 Tm 0.5000 0.5000 0.5000  4 Dy 2.94-3.10
10 Tm 0.2120 0.4591 0.1169  4 Dy 3.17-3.42, 3 Sm 3.41-3.50
11 Tm 0.7880 0.5409 0.8831  4 Dy 3.17-3.42, 3 Sm 3.41-3.50
12 Tm 0.3698 0.0596 0.2009  2 Dy 3.25-3.44, 2 Tm 3.39-3.58

Computed properties:
symmetry: C2/m
formation energy from the elements: 0.2378 eV per atom
crystal system: monoclinic
total magnetization: 0.044 μB/atom

Entry 2:
Sm9Dy11Tm4: optimized geometry, GGA-PBE.

abc: 3.6704 15.2052 15.2052
angles: 113.31 90.00 90.00
Last column: nearest neighbours and their distance in Å.
Element x y z (fractional)
1 Sm 0.5000 0.6294 0.1644  3 Sm 3.45-3.67, 1 Tm 3.46, 8 Dy 3.52-3.69
2 Sm 0.5000 0.3706 0.8356  3 Sm 3.45-3.67, 1 Tm 3.46, 8 Dy 3.52-3.69
3 Sm 0.5000 0.1644 0.6294  3 Sm 3.45-3.67, 1 Tm 3.46, 8 Dy 3.52-3.69
4 Sm 0.5000 0.8356 0.3706  3 Sm 3.45-3.67, 1 Tm 3.46, 8 Dy 3.52-3.69
5 Sm 0.5000 0.7858 0.9331  1 Tm 3.47, 8 Dy 3.52-3.72, 3 Sm 3.67-3.74
6 Sm 0.5000 0.2142 0.0669  1 Tm 3.47, 8 Dy 3.52-3.72, 3 Sm 3.67-3.74
7 Sm 0.5000 0.9331 0.7858  1 Tm 3.47, 8 Dy 3.52-3.72, 3 Sm 3.67-3.74
8 Sm 0.5000 0.0669 0.2142  1 Tm 3.47, 8 Dy 3.52-3.72, 3 Sm 3.67-3.74
9 Sm 0.5000 0.5000 0.5000  4 Tm 3.66, 2 Sm 3.67, 8 Dy 3.81-3.94
10 Dy 0.0000 0.5943 0.9554  2 Tm 3.38, 6 Sm 3.52-3.65, 3 Dy 3.63-3.67
11 Dy 0.0000 0.4057 0.0446  2 Tm 3.38, 6 Sm 3.52-3.65, 3 Dy 3.63-3.67
12 Dy 0.0000 0.9554 0.5943  2 Tm 3.38, 6 Sm 3.52-3.65, 3 Dy 3.63-3.67
13 Dy 0.0000 0.0446 0.4057  2 Tm 3.38, 6 Sm 3.52-3.65, 3 Dy 3.63-3.67
14 Dy 0.0000 0.6315 0.3685  4 Tm 3.28, 4 Sm 3.60, 2 Dy 3.67
15 Dy 0.0000 0.3685 0.6315  4 Tm 3.28, 4 Sm 3.60, 2 Dy 3.67
16 Dy 0.0000 0.8387 0.1613  5 Dy 3.67-4.10, 8 Sm 3.69-3.72
17 Dy 0.0000 0.1613 0.8387  5 Dy 3.67-4.10, 8 Sm 3.69-3.72
18 Dy 0.0000 0.0000 0.0000  8 Sm 3.52, 2 Dy 3.67
19 Dy 0.0000 0.7087 0.7087  4 Tm 3.27, 4 Sm 3.64
20 Dy 0.0000 0.2913 0.2913  4 Tm 3.27, 4 Sm 3.64
21 Tm 0.5000 0.5554 0.7569  6 Dy 3.27-3.38, 3 Sm 3.46-3.66
22 Tm 0.5000 0.4446 0.2431  6 Dy 3.27-3.38, 3 Sm 3.46-3.66
23 Tm 0.5000 0.7569 0.5554  6 Dy 3.27-3.38, 3 Sm 3.46-3.66
24 Tm 0.5000 0.2431 0.4446  6 Dy 3.27-3.38, 3 Sm 3.46-3.66

Computed properties:
symmetry: Cmmm
formation energy from the elements: 0.0511 eV per atom
crystal system: orthorhombic
total magnetization: 0.000 μB/atom

Entry 3:
Sm7Dy3Tm: optimized geometry, GGA-PBE.

abc: 5.8587 8.4985 8.4985
angles: 82.88 110.20 110.20
Last column: nearest neighbours and their distance in Å.
Element x y z (fractional)
1 Sm 0.2119 0.2098 0.2098  1 Tm 3.28, 2 Dy 3.31, 2 Sm 3.45
2 Sm 0.3067 0.0165 0.5975  1 Dy 3.21, 3 Sm 3.32-3.45
3 Sm 0.6933 0.4025 0.9835  1 Dy 3.21, 3 Sm 3.32-3.45
4 Sm 0.3067 0.5975 0.0165  1 Dy 3.21, 3 Sm 3.32-3.45
5 Sm 0.0000 0.5000 0.5000  2 Tm 2.93
6 Sm 0.6933 0.9835 0.4025  1 Dy 3.21, 3 Sm 3.32-3.45
7 Sm 0.7881 0.7902 0.7902  1 Tm 3.28, 2 Dy 3.31, 2 Sm 3.45
8 Dy 0.0000 0.7947 0.2053  9 Sm 3.31-3.65
9 Dy 0.5000 0.0000 0.0000  4 Sm 3.21
10 Dy 0.0000 0.2053 0.7947  9 Sm 3.31-3.65
11 Tm 0.5000 0.5000 0.5000  2 Sm 2.93

Computed properties:
symmetry: C2/m
formation energy from the elements: 0.2456 eV per atom
crystal system: monoclinic
total magnetization: 0.004 μB/atom
energy above the most stable polymorph in this dataset: 0.1203 eV/atom

Entry 4:
Sm6DyTm6: optimized geometry, GGA-PBE.

abc: 6.6849 6.6849 11.3225
angles: 90.00 90.00 119.98
Last column: nearest neighbours and their distance in Å.
Element x y z (fractional)
1 Sm 0.0000 0.0000 0.6584  6 Tm 3.52, 1 Sm 3.59, 1 Dy 3.87
2 Sm 0.0000 0.0000 0.3416  6 Tm 3.52, 1 Sm 3.59, 1 Dy 3.87
3 Sm 0.3334 0.6666 0.0000  6 Tm 3.37
4 Sm 0.6666 0.3334 0.0000  6 Tm 3.37
5 Sm 0.3331 0.6669 0.5000  6 Tm 3.48, 3 Sm 3.86
6 Sm 0.6669 0.3331 0.5000  6 Tm 3.48, 3 Sm 3.86
7 Dy 0.0000 0.0000 0.0000  8 Sm 3.86-3.87
8 Tm 0.0000 0.5000 0.7558  4 Tm 3.34, 6 Sm 3.37-3.52
9 Tm 0.5000 0.0000 0.7558  4 Tm 3.34, 6 Sm 3.37-3.52
10 Tm 0.5000 0.5000 0.7557  4 Tm 3.34, 6 Sm 3.37-3.52
11 Tm 0.5000 0.0000 0.2442  4 Tm 3.34, 6 Sm 3.37-3.52
12 Tm 0.0000 0.5000 0.2442  4 Tm 3.34, 6 Sm 3.37-3.52
13 Tm 0.5000 0.5000 0.2443  4 Tm 3.34, 6 Sm 3.37-3.52

Computed properties:
symmetry: P6/mmm
formation energy from the elements: 0.2697 eV per atom
crystal system: hexagonal
total magnetization: 0.233 μB/atom

Entry 5:
Sm6Dy19Tm4: optimized geometry, GGA-PBE.

abc: 10.7393 10.7393 10.7393
angles: 109.47 109.47 109.47
Last column: nearest neighbours and their distance in Å.
Element x y z (fractional)
1 Sm 0.3739 0.5000 0.8739  1 Sm 3.13, 4 Dy 3.18-3.39
2 Sm 0.6261 0.5000 0.1261  1 Sm 3.13, 4 Dy 3.18-3.39
3 Sm 0.1261 0.6261 0.5000  1 Sm 3.13, 4 Dy 3.18-3.39
4 Sm 0.8739 0.3739 0.5000  1 Sm 3.13, 4 Dy 3.18-3.39
5 Sm 0.5000 0.8739 0.3739  1 Sm 3.13, 4 Dy 3.18-3.39
6 Sm 0.5000 0.1261 0.6261  1 Sm 3.13, 4 Dy 3.18-3.39
7 Dy 0.7423 0.0000 0.7423  5 Dy 3.20-3.55, 2 Tm 3.29, 2 Sm 3.39
8 Dy 0.2577 0.0000 0.2577  5 Dy 3.20-3.55, 2 Tm 3.29, 2 Sm 3.39
9 Dy 0.2577 0.2577 0.0000  5 Dy 3.20-3.55, 2 Tm 3.29, 2 Sm 3.39
10 Dy 0.7423 0.7423 0.0000  5 Dy 3.20-3.55, 2 Tm 3.29, 2 Sm 3.39
11 Dy 0.0000 0.7423 0.7423  5 Dy 3.20-3.55, 2 Tm 3.29, 2 Sm 3.39
12 Dy 0.0000 0.2577 0.2577  5 Dy 3.20-3.55, 2 Tm 3.29, 2 Sm 3.39
13 Dy 0.0000 0.0000 0.0000  6 Dy 3.20
14 Dy 0.1959 0.2155 0.5388  1 Sm 3.18, 2 Tm 3.32-3.41, 2 Dy 3.33-3.55
15 Dy 0.8041 0.3429 0.0196  1 Sm 3.18, 2 Tm 3.32-3.41, 2 Dy 3.33-3.55
16 Dy 0.6767 0.6571 0.4612  1 Sm 3.18, 2 Tm 3.32-3.41, 2 Dy 3.33-3.55
17 Dy 0.0196 0.8041 0.3429  1 Sm 3.18, 2 Tm 3.32-3.41, 2 Dy 3.33-3.55
18 Dy 0.3233 0.7845 0.9804  1 Sm 3.18, 2 Tm 3.32-3.41, 2 Dy 3.33-3.55
19 Dy 0.5388 0.1959 0.2155  1 Sm 3.18, 2 Tm 3.32-3.41, 2 Dy 3.33-3.55
20 Dy 0.9804 0.3233 0.7845  1 Sm 3.18, 2 Tm 3.32-3.41, 2 Dy 3.33-3.55
21 Dy 0.4612 0.6767 0.6571  1 Sm 3.18, 2 Tm 3.32-3.41, 2 Dy 3.33-3.55
22 Dy 0.7845 0.9804 0.3233  1 Sm 3.18, 2 Tm 3.32-3.41, 2 Dy 3.33-3.55
23 Dy 0.3429 0.0196 0.8041  1 Sm 3.18, 2 Tm 3.32-3.41, 2 Dy 3.33-3.55
24 Dy 0.2155 0.5388 0.1959  1 Sm 3.18, 2 Tm 3.32-3.41, 2 Dy 3.33-3.55
25 Dy 0.6571 0.4612 0.6767  1 Sm 3.18, 2 Tm 3.32-3.41, 2 Dy 3.33-3.55
26 Tm 0.0000 0.0000 0.6419  9 Dy 3.29-3.41
27 Tm 0.0000 0.6419 0.0000  9 Dy 3.29-3.41
28 Tm 0.3581 0.3581 0.3581  9 Dy 3.29-3.41
29 Tm 0.6419 0.0000 0.0000  9 Dy 3.29-3.41

Computed properties:
symmetry: I23
formation energy from the elements: 0.3628 eV per atom
crystal system: cubic
total magnetization: 0.000 μB/atom

Entry 6:
Sm2Dy3Tm5: optimized geometry, GGA-PBE.

abc: 6.7106 12.2511 12.2511
angles: 44.69 74.10 74.10
Last column: nearest neighbours and their distance in Å.
Element x y z (fractional)
1 Sm 0.1261 0.7739 0.9738  1 Tm 2.91
2 Sm 0.8739 0.2261 0.0262  1 Tm 2.91
3 Sm 0.6261 0.9738 0.7739  1 Tm 2.91
4 Sm 0.3739 0.0262 0.2261  1 Tm 2.91
5 Dy 0.2500 0.0000 0.0000  4 Sm 3.34, 2 Dy 3.36
6 Dy 0.7500 0.0000 0.0000  4 Sm 3.34, 2 Dy 3.36
7 Dy 0.3729 0.3784 0.8759  1 Tm 3.13, 1 Sm 3.27
8 Dy 0.6271 0.6216 0.1241  1 Tm 3.13, 1 Sm 3.27
9 Dy 0.8729 0.8759 0.3784  1 Tm 3.13, 1 Sm 3.27
10 Dy 0.1271 0.1241 0.6216  1 Tm 3.13, 1 Sm 3.27
11 Tm 0.2500 0.5000 0.5000  6 Tm 3.27-3.36
12 Tm 0.7500 0.5000 0.5000  6 Tm 3.27-3.36
13 Tm 0.5020 0.7480 0.7480  4 Tm 3.26-3.36, 2 Sm 3.33
14 Tm 0.9980 0.2520 0.2520  4 Tm 3.26-3.36, 2 Sm 3.33
15 Tm 0.4980 0.2520 0.2520  4 Tm 3.26-3.36, 2 Sm 3.33
16 Tm 0.0020 0.7480 0.7480  4 Tm 3.26-3.36, 2 Sm 3.33
17 Tm 0.1243 0.4630 0.2883  1 Sm 2.91, 1 Dy 3.13, 2 Tm 3.26
18 Tm 0.8757 0.5370 0.7117  1 Sm 2.91, 1 Dy 3.13, 2 Tm 3.26
19 Tm 0.6243 0.2883 0.4630  1 Sm 2.91, 1 Dy 3.13, 2 Tm 3.26
20 Tm 0.3757 0.7117 0.5370  1 Sm 2.91, 1 Dy 3.13, 2 Tm 3.26

Computed properties:
symmetry: Ibam
formation energy from the elements: 0.4217 eV per atom
crystal system: orthorhombic
total magnetization: 0.000 μB/atom
energy above the most stable polymorph in this dataset: 0.2240 eV/atom

Entry 7:
Sm6Dy3Tm: optimized geometry, GGA-PBE.

abc: 6.3928 11.6699 11.6699
angles: 130.62 90.00 90.00
Last column: nearest neighbours and their distance in Å.
Element x y z (fractional)
1 Sm 0.0666 0.7420 0.6208  3 Dy 3.38-3.56, 4 Sm 3.54-3.73, 1 Tm 3.76
2 Sm 0.5666 0.6208 0.7420  3 Dy 3.38-3.56, 4 Sm 3.54-3.73, 1 Tm 3.76
3 Sm 0.3241 0.4561 0.8945  2 Dy 3.28-3.45, 3 Sm 3.42-3.61, 2 Tm 3.63-3.66
4 Sm 0.8241 0.8945 0.4561  2 Dy 3.28-3.45, 3 Sm 3.42-3.61, 2 Tm 3.63-3.66
5 Sm 0.3222 0.9839 0.0161  4 Sm 3.27-3.60, 1 Tm 3.28, 4 Dy 3.55-3.59
6 Sm 0.7942 0.3005 0.6995  1 Dy 3.16, 1 Tm 3.32, 2 Sm 3.48
7 Sm 0.2942 0.6995 0.3005  1 Dy 3.16, 1 Tm 3.32, 2 Sm 3.48
8 Sm 0.8222 0.0161 0.9839  4 Sm 3.27-3.60, 1 Tm 3.28, 4 Dy 3.55-3.59
9 Sm 0.3241 0.1055 0.5439  2 Dy 3.28-3.45, 3 Sm 3.42-3.61, 2 Tm 3.63-3.66
10 Sm 0.8241 0.5439 0.1055  2 Dy 3.28-3.45, 3 Sm 3.42-3.61, 2 Tm 3.63-3.66
11 Sm 0.0666 0.3792 0.2580  3 Dy 3.38-3.56, 4 Sm 3.54-3.73, 1 Tm 3.76
12 Sm 0.5666 0.2580 0.3792  3 Dy 3.38-3.56, 4 Sm 3.54-3.73, 1 Tm 3.76
13 Dy 0.4910 0.9582 0.7064  2 Dy 3.27-3.44, 5 Sm 3.28-3.59, 1 Tm 3.51
14 Dy 0.9910 0.7064 0.9582  2 Dy 3.27-3.44, 5 Sm 3.28-3.59, 1 Tm 3.51
15 Dy 0.0879 0.4202 0.5798  3 Sm 3.16-3.46, 2 Dy 3.44
16 Dy 0.5879 0.5798 0.4202  3 Sm 3.16-3.46, 2 Dy 3.44
17 Dy 0.9910 0.0418 0.2936  2 Dy 3.27-3.44, 5 Sm 3.28-3.59, 1 Tm 3.51
18 Dy 0.4910 0.2936 0.0418  2 Dy 3.27-3.44, 5 Sm 3.28-3.59, 1 Tm 3.51
19 Tm 0.0177 0.1591 0.8409  6 Sm 3.28-3.66, 2 Dy 3.51
20 Tm 0.5177 0.8409 0.1591  6 Sm 3.28-3.66, 2 Dy 3.51

Computed properties:
symmetry: Cmc2_1
formation energy from the elements: 0.1253 eV per atom
crystal system: orthorhombic
total magnetization: 0.000 μB/atom
energy above the most stable polymorph in this dataset: 0.0000 eV/atom

Entry 8:
Sm8Dy4Tm3: optimized geometry, GGA-PBE.

abc: 6.9572 6.9572 12.4934
angles: 73.83 73.83 60.00
Last column: nearest neighbours and their distance in Å.
Element x y z (fractional)
1 Sm 0.2450 0.2450 0.2650  1 Dy 3.23, 3 Tm 3.43, 6 Sm 3.48
2 Sm 0.2477 0.7500 0.2522  6 Sm 3.46-3.49, 3 Dy 3.53-3.59, 2 Tm 3.55
3 Sm 0.7500 0.7500 0.2522  6 Sm 3.46-3.49, 3 Dy 3.53-3.59, 2 Tm 3.55
4 Sm 0.7500 0.2477 0.2522  6 Sm 3.46-3.49, 3 Dy 3.53-3.59, 2 Tm 3.55
5 Sm 0.7550 0.7550 0.7350  1 Dy 3.23, 3 Tm 3.43, 6 Sm 3.48
6 Sm 0.7523 0.2500 0.7478  6 Sm 3.46-3.49, 3 Dy 3.53-3.59, 2 Tm 3.55
7 Sm 0.2500 0.2500 0.7478  6 Sm 3.46-3.49, 3 Dy 3.53-3.59, 2 Tm 3.55
8 Sm 0.2500 0.7523 0.7478  6 Sm 3.46-3.49, 3 Dy 3.53-3.59, 2 Tm 3.55
9 Dy 0.0000 0.0000 0.0000  6 Sm 3.59, 6 Dy 4.02
10 Dy 0.3359 0.3359 0.9923  4 Sm 3.23-3.53
11 Dy 0.5000 0.5000 0.5000  6 Tm 3.48, 6 Sm 3.56
12 Dy 0.6641 0.6641 0.0077  4 Sm 3.23-3.53
13 Tm 0.5000 0.0000 0.5000  6 Sm 3.43-3.55, 2 Dy 3.48, 4 Tm 3.48
14 Tm 0.0000 0.0000 0.5000  6 Sm 3.43-3.55, 4 Tm 3.48, 2 Dy 3.48
15 Tm 0.0000 0.5000 0.5000  6 Sm 3.43-3.55, 4 Tm 3.48, 2 Dy 3.48

Computed properties:
symmetry: R-3m
formation energy from the elements: 0.1498 eV per atom
crystal system: trigonal
total magnetization: 0.000 μB/atom
energy above the most stable polymorph in this dataset: 0.0000 eV/atom

Number 1: V 32.49 Å³/atom. Number 2: V 32.47 Å³/atom. Number 3: V 33.88 Å³/atom. Number 4: V 33.71 Å³/atom. Number 5: V 32.88 Å³/atom. Number 6: V 33.83 Å³/atom. Number 7: V 33.04 Å³/atom. Number 8: V 33.06 Å³/atom.